[1]
PBE-GGA B4C, relaxed; M_tot = 0.000 μB per cell; energy above the most stable polymorph in this dataset = 490 meV per atom; ΔH_f (0 K) = 37 kJ/mol of atoms
1.0
3.932 -1.350 0.000
3.932 1.350 0.000
-0.303 0.000 6.413
B C
8 2
direct
0.000 0.000 0.000
0.012 0.012 0.324
0.222 0.222 0.062
0.392 0.392 0.862
0.407 0.407 0.577
0.613 0.613 0.702
0.795 0.795 0.457
0.822 0.822 0.178
0.178 0.178 0.815
0.588 0.588 0.434

***

[2]
PBE-GGA Pr2BeBr, relaxed; M_tot = 0.001 μB per cell
1.0
4.062 0.000 0.000
-2.031 3.517 0.000
0.000 0.000 23.330
Pr Be Br
6 3 3
direct
0.000 0.000 0.240
0.000 0.000 0.760
0.333 0.667 0.427
0.333 0.667 0.906
0.667 0.333 0.094
0.667 0.333 0.573
0.000 0.000 0.500
0.333 0.667 0.167
0.667 0.333 0.833
0.000 0.000 0.000
0.333 0.667 0.667
0.667 0.333 0.333

***

[3]
PBE-GGA PrNd4Ho3Te8, relaxed; M_tot = 0.000 μB per cell
1.0
4.413 2.548 7.361
-4.413 2.548 7.361
0.000 -5.095 7.361
Pr Nd Ho Te
1 4 3 8
direct
0.000 0.000 0.000
0.000 0.000 0.500
0.000 0.500 0.000
0.500 0.000 0.000
0.500 0.500 0.500
0.000 0.500 0.500
0.500 0.000 0.500
0.500 0.500 0.000
0.251 0.251 0.739
0.251 0.739 0.251
0.255 0.255 0.255
0.261 0.749 0.749
0.739 0.251 0.251
0.745 0.745 0.745
0.749 0.261 0.749
0.749 0.749 0.261

***

Total energy per entry: -6.799; -4.229; -5.274 eV/atom